Li2CdRe: relaxed, PBE-GGA.

a b c (Å): 5.692 5.692 5.692
angles (deg): 153.16 127.34 60.07
Atoms (fractional coordinates):
Cd  0.250  0.750  0.500
Li  0.997  0.997  0.000
Li  0.503  0.503  0.000
Re  0.750  0.250  0.500

Output
Symmetry   Immm (71)
M_tot   0.0 μB/cell
Energy   -15.7 eV for the cell shown
Energy of formation   0.37 eV per atom